# HfSc3P

HfSc3P after structural relaxation (GGA-PBEsol, the Alexandria database).

abc: 4.987 4.987 4.987
angles: 90.00 90.00 90.00
Space group Pm-3m (No. 221)
Symmetry-distinct sites (fractional):
Hf 0.000 0.000 0.000 (multiplicity 1)
Sc 0.000 0.000 0.500 (multiplicity 3)
P 0.500 0.500 0.500 (multiplicity 1)

For the formation enthalpy at 0 K, the calculation gives 0.932 eV/atom. Its total DFT energy (no corrections) is -6.2897 eV per atom.

# Cs3BiH

Cs3BiH after structural relaxation (GGA-PBEsol, the Alexandria database).

abc: 5.903 5.903 5.903
angles: 90.00 90.00 90.00
Space group Pm-3m (No. 221)
Symmetry-distinct sites (fractional):
Cs 0.000 0.000 0.500 (multiplicity 3)
Bi 0.500 0.500 0.500 (multiplicity 1)
H 0.000 0.000 0.000 (multiplicity 1)

Its total DFT energy (no corrections) is -2.3129 eV per atom.

# CaSbPt2

CaSbPt2 after structural relaxation (GGA-PBEsol, the Alexandria database).

abc: 3.580 3.580 6.046
angles: 90.00 90.00 90.00
Space group P4/mmm (No. 123)
Symmetry-distinct sites (fractional):
Ca 0.000 0.000 0.000 (multiplicity 1)
Sb 0.000 0.000 0.500 (multiplicity 1)
Pt 0.500 0.500 0.266 (multiplicity 2)

Its total DFT energy (no corrections) is -5.6624 eV per atom. Its raw formation energy is -508 meV per atom.

# HoSnGe

HoSnGe after structural relaxation (GGA-PBEsol, the Alexandria database).

abc: 4.222 15.910 4.008
angles: 90.00 90.00 90.00
Space group Cmcm (No. 63)
Symmetry-distinct sites (fractional):
Ho 0.000 0.094 0.250 (multiplicity 4)
Sn 0.000 0.254 0.750 (multiplicity 4)
Ge 0.000 0.446 0.250 (multiplicity 4)

For the formation enthalpy at 0 K, the calculation gives -0.686 eV/atom. Its total DFT energy (no corrections) is -5.4025 eV per atom.

# CaTaCo2

CaTaCo2 after structural relaxation (GGA-PBEsol, the Alexandria database).

abc: 4.524 4.524 2.938
angles: 90.00 90.00 90.00
Space group P4/mmm (No. 123)
Symmetry-distinct sites (fractional):
Ca 0.000 0.000 0.000 (multiplicity 1)
Ta 0.500 0.500 0.000 (multiplicity 1)
Co 0.000 0.500 0.500 (multiplicity 2)

The energy relative to the lowest polymorph listed for this composition is 0.000 eV per atom. For the formation enthalpy at 0 K, the calculation gives 0.254 eV/atom. Its total DFT energy (no corrections) is -7.2856 eV per atom.

# Tl2CS

Tl2CS after structural relaxation (GGA-PBEsol, the Alexandria database).

abc: 6.881 6.881 6.881
angles: 90.00 90.00 90.00
Space group Fm-3m (No. 225)
Symmetry-distinct sites (fractional):
Tl 0.250 0.250 0.250 (multiplicity 8)
C 0.000 0.000 0.000 (multiplicity 4)
S 0.000 0.000 0.500 (multiplicity 4)

The energy relative to the lowest polymorph listed for this composition is 0.731 eV per atom. Its total DFT energy (no corrections) is -3.4259 eV per atom. Its raw formation energy is 1396 meV per atom.

| no. | magnetization (μB per cell) |
| --- | --- |
| 1 | 0.00 |
| 2 | 1.01 |
| 3 | 0.00 |
| 4 | 0.00 |
| 5 | 1.18 |
| 6 | 8.06 |